[1]
Sb2Ru2Pb | PBE | relaxed

As for the formation energy (no corrections): 0.24 eV/atom. Its energy above the most stable polymorph in this dataset is 109.4 meV per atom. The value obtained for the volume is 223 Å³/cell.

The structure belongs to space group I4/mmm (No. 139); the cell edges are 4.683, 4.683 and 10.172 Å and the angles 90.00°, 90.00° and 90.00°. The asymmetric unit holds Sb at (0.000, 0.500, 0.250), Ru at (0.000, 0.000, 0.120) and Pb at (0.000, 0.000, 0.500).

---

[2]
Na4Nb2Re | PBE | relaxed

Its formation energy is 1.753 eV per atom. The value obtained for the volume is 467 Å³/cell.

The structure belongs to space group I4/mmm (No. 139); the cell edges are 5.626, 5.626 and 14.766 Å and the angles 90.00°, 90.00° and 90.00°. The asymmetric unit holds Na at (0.000, 0.000, 0.202), Na at (0.000, 0.500, 0.000), Nb at (0.000, 0.000, 0.427) and Re at (0.000, 0.000, 0.000).

---

[3]
Ta2OsRu | PBE | relaxed

Its formation energy is 0.169 eV per atom. Its energy above the most stable polymorph in this dataset is 487.5 meV per atom. The value obtained for the volume is 196 Å³/cell.

The structure belongs to space group R3m (No. 160, hexagonal axes); the cell edges are 2.8173, 2.8173 and 28.4473 Å and the angles 90.00°, 90.00° and 120.00°. The asymmetric unit holds Ta at (0.0000, 0.0000, 0.0000), Ta at (0.0000, 0.0000, 0.2408), Os at (0.0000, 0.0000, 0.7507) and Ru at (0.0000, 0.0000, 0.4911).